Record 1
Material: TiTcHg2Pb
Method: DFT, meta-GGA SCAN
State: PBEsol geometry

Output
M_tot (μB/atom): 0.186
Formation energy from the elements (meV per atom): 741.1
Calculated density (g/cm³): 10.4

Lattice parameters (Å, degrees): 5.271 5.271 4.324 90.00 90.00 90.00
Atoms (fractional coordinates):
Ti 0.000 0.000 0.000
Tc 0.000 0.000 0.500
Hg 0.000 0.500 0.000
Hg 0.500 0.000 0.000
Pb 0.500 0.500 0.500


Record 2
Material: HgTe3Pb
Method: DFT, meta-GGA SCAN
State: PBEsol geometry

Output
Formation energy without anion corrections (meV/atom): 354
M_tot (μB/atom): 0.000
Calculated density (g/cm³): 7.8

Lattice parameters (Å, degrees): 5.518 5.518 5.518 90.00 90.00 90.00
Atoms (fractional coordinates):
Hg 0.000 0.000 0.000
Te 0.000 0.000 0.500
Te 0.000 0.500 0.000
Te 0.500 0.000 0.000
Pb 0.500 0.500 0.500


Record 3
Material: HgTePb
Method: DFT, meta-GGA SCAN
State: PBEsol geometry

Output
Formation energy without anion corrections (meV/atom): -88
M_tot (μB/atom): 0.000
Offset from the most stable computed form (meV/atom): 0
Calculated density (g/cm³): 8.8

Lattice parameters (Å, degrees): 7.395 7.395 7.395 90.00 90.00 90.00
Atoms (fractional coordinates):
Hg 0.000 0.000 0.000
Hg 0.000 0.500 0.500
Hg 0.500 0.000 0.500
Hg 0.500 0.500 0.000
Te 0.000 0.000 0.500
Te 0.000 0.500 0.000
Te 0.500 0.000 0.000
Te 0.500 0.500 0.500
Pb 0.250 0.250 0.250
Pb 0.250 0.750 0.750
Pb 0.750 0.250 0.750
Pb 0.750 0.750 0.250


Record 4
Material: HgTePb2
Method: DFT, meta-GGA SCAN
State: PBEsol geometry

Output
Formation energy without anion corrections (meV/atom): 9
M_tot (μB/atom): 0.000
Calculated density (g/cm³): 10.9

Lattice parameters (Å, degrees): 7.669 7.669 7.669 90.00 90.00 90.00
Atoms (fractional coordinates):
Hg 0.000 0.000 0.000
Hg 0.000 0.500 0.500
Hg 0.500 0.000 0.500
Hg 0.500 0.500 0.000
Te 0.000 0.000 0.500
Te 0.000 0.500 0.000
Te 0.500 0.000 0.000
Te 0.500 0.500 0.500
Pb 0.250 0.250 0.250
Pb 0.250 0.250 0.750
Pb 0.250 0.750 0.250
Pb 0.250 0.750 0.750
Pb 0.750 0.250 0.250
Pb 0.750 0.250 0.750
Pb 0.750 0.750 0.250
Pb 0.750 0.750 0.750